VZnOsO2 | Alexandria via LeMat-Bulk | PBE+U | relaxed; total DFT energy (no corrections) = -0.2109 Ha/atom; calculated density = 7.28 Mg/m³; total magnetic moment = 0.72 μB/f.u.; space group = P4/mmm
1.0
3.779 0.000 0.000
0.000 3.779 0.000
0.000 0.000 5.409
V Zn Os O
1 1 1 2
direct
0.000 0.000 0.000
0.500 0.500 0.000
0.000 0.000 0.500
0.000 0.500 0.500
0.500 0.000 0.500